# PBE+U CaMnCO4, optimized geometry
data_CaMnCO4
_cell_length_a 5.744
_cell_length_b 5.902
_cell_length_c 8.374
_cell_angle_alpha 90.00
_cell_angle_beta 90.00
_cell_angle_gamma 90.00
_symmetry_space_group_name_H-M 'I m m a'
_symmetry_Int_Tables_number 74
_symmetry_space_group_name_Hall '-I 2b 2'
loop_
_atom_site_label
_atom_site_type_symbol
_atom_site_fract_x
_atom_site_fract_y
_atom_site_fract_z
_atom_site_occupancy
Ca1 Ca 0.250 0.250 0.250 1
Mn1 Mn 0.000 0.000 0.000 1
C1 C 0.000 0.250 0.632 1
O1 O 0.000 0.053 0.723 1
O2 O 0.210 0.250 0.524 1
# M_tot: 0.7112 μB/atom
# total DFT energy (no corrections): -6.941 eV per atom